(1)
DFT (PBE-GGA) results for a relaxed structure of PmNp2Ir9.

Output
- ΔE_f (eV per atom) = -0.3984
- DFT total energy (eV/cell) = -115.2

Cell: 9.2879 9.2879 9.2879 Å, 33.20 33.20 33.20°
Fractional coordinates of all 12 atoms:
Pm: 0.0000 0.0000 0.0000
Np: 0.1405 0.1405 0.1405
Np: 0.8595 0.8595 0.8595
Ir: 0.0810 0.5848 0.5848
Ir: 0.3332 0.3332 0.3332
Ir: 0.4152 0.4152 0.9190
Ir: 0.4152 0.9190 0.4152
Ir: 0.5000 0.5000 0.5000
Ir: 0.5848 0.0810 0.5848
Ir: 0.5848 0.5848 0.0810
Ir: 0.6668 0.6668 0.6668
Ir: 0.9190 0.4152 0.4152



(2)
DFT (PBE-GGA) results for a relaxed structure of Pr2GaGe3Rh4.

Output
- ΔE_f (eV per atom) = -0.8670
- DFT total energy (eV/cell) = -64.5

Cell: 4.2862 4.2862 10.1484 Å, 90.00 90.00 90.00°
Fractional coordinates of all 10 atoms:
Pr: 0.0000 0.5000 0.2473
Pr: 0.5000 0.0000 0.7527
Ga: 0.5000 0.5000 0.0000
Ge: 0.0000 0.0000 0.0000
Ge: 0.0000 0.5000 0.6291
Ge: 0.5000 0.0000 0.3709
Rh: 0.0000 0.0000 0.5000
Rh: 0.0000 0.5000 0.8708
Rh: 0.5000 0.0000 0.1292
Rh: 0.5000 0.5000 0.5000



(3)
DFT (PBE-GGA) results for a relaxed structure of Ba7Tl2Au2.

Output
- energy relative to the lowest polymorph listed for this composition (meV per atom) = 0
- ΔE_f (eV per atom) = -0.3937
- DFT total energy (eV/cell) = -29.1

Cell: 11.2800 11.2800 11.2800 Å, 157.11 67.25 117.73°
Fractional coordinates of all 11 atoms:
Ba: 0.0000 0.0000 0.0000
Ba: 0.3003 0.4149 0.8854
Ba: 0.3026 0.6140 0.6885
Ba: 0.5295 0.4149 0.1146
Ba: 0.6195 0.2593 0.3602
Ba: 0.8991 0.2593 0.6398
Ba: 0.9255 0.6140 0.3115
Tl: 0.2355 0.7355 0.5000
Tl: 0.6747 0.6747 0.0000
Au: 0.1532 0.9080 0.2452
Au: 0.6629 0.9080 0.7548



(4)
DFT (PBE-GGA) results for a relaxed structure of CdRePb3.

Output
- energy relative to the lowest polymorph listed for this composition (meV per atom) = 0
- ΔE_f (eV per atom) = 0.5260
- DFT total energy (eV/cell) = -21.9

Cell: 5.3772 5.3772 5.3772 Å, 90.00 90.00 90.00°
Fractional coordinates of all 5 atoms:
Cd: 0.0000 0.0000 0.0000
Re: 0.5000 0.5000 0.5000
Pb: 0.0000 0.5000 0.5000
Pb: 0.5000 0.0000 0.5000
Pb: 0.5000 0.5000 0.0000



(5)
DFT (PBE-GGA) results for a relaxed structure of KTl5Sn2.

Output
- ΔE_f (eV per atom) = -0.0126
- DFT total energy (eV/cell) = -42.1

Cell: 9.5473 9.5473 9.5473 Å, 126.77 126.77 78.62°
Fractional coordinates of all 16 atoms:
K: 0.2500 0.2500 0.0000
K: 0.7500 0.7500 0.0000
Tl: 0.0000 0.0000 0.0000
Tl: 0.0240 0.5240 0.8278
Tl: 0.1962 0.0240 0.5000
Tl: 0.3038 0.8038 0.8278
Tl: 0.4760 0.3038 0.5000
Tl: 0.5000 0.5000 0.0000
Tl: 0.5240 0.6962 0.5000
Tl: 0.6962 0.1962 0.1722
Tl: 0.8038 0.9760 0.5000
Tl: 0.9760 0.4760 0.1722
Sn: 0.1282 0.3718 0.5000
Sn: 0.3718 0.8718 0.2436
Sn: 0.6282 0.1282 0.7564
Sn: 0.8718 0.6282 0.5000



(6)
DFT (PBE-GGA) results for a relaxed structure of NbV2GaTc.

Output
- ΔE_f (eV per atom) = 1.4633
- DFT total energy (eV/cell) = -34.4

Cell: 4.5564 4.5564 4.7655 Å, 90.00 90.00 90.00°
Fractional coordinates of all 5 atoms:
Nb: 0.0000 0.0000 0.0000
V: 0.0000 0.5000 0.0000
V: 0.5000 0.0000 0.0000
Ga: 0.5000 0.5000 0.5000
Tc: 0.0000 0.0000 0.5000



(7)
DFT (PBE-GGA) results for a relaxed structure of LiPr3Se4.

Output
- energy relative to the lowest polymorph listed for this composition (meV per atom) = 16
- DFT total energy (eV/cell) = -44.3
- formation energy (no corrections) (eV/atom) = -1.761

Cell: 7.3044 7.3044 4.2222 Å, 90.00 90.00 109.44°
Fractional coordinates of all 8 atoms:
Li: 0.0000 0.0000 0.0000
Pr: 0.0000 0.5000 0.5000
Pr: 0.5000 0.0000 0.5000
Pr: 0.5000 0.5000 0.0000
Se: 0.2399 0.2399 0.5000
Se: 0.2429 0.7571 0.0000
Se: 0.7571 0.2429 0.0000
Se: 0.7601 0.7601 0.5000



(8)
DFT (PBE-GGA) results for a relaxed structure of HfZn2Bi2.

Output
- ΔE_f (eV per atom) = 0.1548
- DFT total energy (eV/cell) = -39.0

Cell: 7.5612 7.5612 3.9273 Å, 90.00 90.00 90.00°
Fractional coordinates of all 10 atoms:
Hf: 0.0000 0.0000 0.0000
Hf: 0.5000 0.5000 0.0000
Zn: 0.1225 0.3775 0.0000
Zn: 0.3775 0.8775 0.0000
Zn: 0.6225 0.1225 0.0000
Zn: 0.8775 0.6225 0.0000
Bi: 0.1779 0.6779 0.5000
Bi: 0.3221 0.1779 0.5000
Bi: 0.6779 0.8221 0.5000
Bi: 0.8221 0.3221 0.5000



Q: Number 6 is which compound?
A: NbV2GaTc



Q: Which of these has the highest DFT total energy?
A: CdRePb3



Q: Among the records above, which one has the highest DFT total energy?
A: CdRePb3